A plane-wave DFT calculation with GGA-PBE was carried out for a relaxed TbHfPdRh crystal.

Values from the calculation:
Energy of formation from the pure elements (eV per atom): -0.72
V (Å³/cell): 78

Lattice parameters (Å, degrees): 4.792 4.792 4.792 60.00 60.00 60.00
Element x y z (fractional)
Tb (0.000, 0.000, 0.000)
Hf (0.500, 0.500, 0.500)
Pd (0.750, 0.750, 0.750)
Rh (0.250, 0.250, 0.250)


A plane-wave DFT calculation with GGA-PBE was carried out for a relaxed Pr3Ge2O8 crystal.

Values from the calculation:
Formation energy from raw total energies (eV per atom): -2.46
V (Å³/cell): 181

Lattice parameters (Å, degrees): 7.345 7.345 7.345 45.11 45.11 45.11
Element x y z (fractional)
Pr (0.000, 0.000, 0.000)
Pr (0.201, 0.201, 0.201)
Pr (0.799, 0.799, 0.799)
Ge (0.406, 0.406, 0.406)
Ge (0.594, 0.594, 0.594)
O (0.220, 0.737, 0.737)
O (0.263, 0.263, 0.780)
O (0.263, 0.780, 0.263)
O (0.318, 0.318, 0.318)
O (0.682, 0.682, 0.682)
O (0.737, 0.220, 0.737)
O (0.737, 0.737, 0.220)
O (0.780, 0.263, 0.263)